The following is a PBE with a Hubbard U calculation of LiHo2Ag2W4O16 after structural relaxation, from Alexandria via LeMat-Bulk.

abc: 10.3886 10.9211 7.3545
angles: 90.00 128.61 90.00
Closest atoms and distances in Å follow each position.
Space group C2/m (No. 12)
One atom of each set of equivalent atoms:
Li  0.0000  0.0000  0.0000  4 O 1.97
Ho  0.0000  0.2874  0.0000  6 O 2.31-2.35
Ag  0.1894  0.5000  0.5325  1 O 2.26
W  0.0000  0.1607  0.5000  4 O 1.82-1.97
W  0.2368  0.0000  0.9764  3 O 1.85-1.91
O  0.0126  0.0000  0.3378  3 W 2.14-2.17
O  0.0360  0.5000  0.8468  1 W 1.85
O  0.0441  0.2597  0.3467  1 W 1.82
O  0.1701  0.1219  0.0888  1 W 1.91, 1 Li 1.97
O  0.2328  0.1300  0.7659  2 W 1.97-2.08

Properties
Its total moment is 1.00 μB/f.u. Its total energy is -176.7 eV per formula unit.